Entry 1:
Below is crystalline Al2ZnRuAu at its relaxed geometry, with properties calculated at the PBE level.

Properties
The energy relative to the elements comes out at 0.858 eV/atom. The calculation puts the energy above the most stable polymorph in this dataset at 3.13 eV/f.u.

Lattice parameters (Å, degrees): 4.6836 5.2506 4.6836 90.00 90.00 90.00
Last column: nearest neighbours and their distance in Å.
Positions (direct):
Al (0.5000, 0.0000, 0.0000)  2 Au 2.34
Ru (0.0000, 0.5000, 0.0000)  2 Au 2.63
Au (0.0000, 0.0000, 0.0000)  4 Al 2.34
Zn (0.5000, 0.5000, 0.5000)  4 Ru 3.31, 8 Al 3.52
Al (0.0000, 0.0000, 0.5000)  2 Au 2.34


Entry 2:
Below is crystalline Li2Ag3Pd5 at its relaxed geometry, with properties calculated at the PBE level.

Properties
The energy relative to the elements comes out at 0.065 eV/atom.

Lattice parameters (Å, degrees): 5.3918 8.5633 8.5633 91.93 71.65 71.65
Last column: nearest neighbours and their distance in Å.
Positions (direct):
Pd (0.3587, 0.7995, 0.4831)  1 Li 2.36
Pd (0.9962, 0.7538, 0.7538)  1 Ag 2.61, 2 Li 2.63, 5 Pd 2.65-2.70
Ag (0.1227, 0.1752, 0.5795)  1 Li 2.75, 4 Pd 2.76-3.04
Pd (0.1413, 0.5169, 0.2005)  1 Li 2.36
Pd (0.6413, 0.2005, 0.5169)  1 Li 2.36
Ag (0.7500, 0.0000, 0.0000)  2 Pd 2.61, 4 Li 2.65, 2 Ag 2.70
Ag (0.8773, 0.8248, 0.4205)  1 Li 2.75, 4 Pd 2.76-3.04
Li (0.8748, 0.2758, 0.9746)  3 Pd 2.36-2.63
Pd (0.0038, 0.2462, 0.2462)  1 Ag 2.61, 2 Li 2.63, 5 Pd 2.65-2.70
Pd (0.4962, 0.7538, 0.7538)  1 Ag 2.61, 2 Li 2.63, 5 Pd 2.65-2.70
Pd (0.7500, 0.5000, 0.5000)  8 Pd 2.69-2.80
Li (0.3748, 0.9746, 0.2758)  3 Pd 2.36-2.63
Ag (0.2500, 0.0000, 0.0000)  2 Pd 2.61, 4 Li 2.65, 2 Ag 2.70
Pd (0.5038, 0.2462, 0.2462)  1 Ag 2.61, 2 Li 2.63, 5 Pd 2.65-2.70
Li (0.6252, 0.0254, 0.7242)  3 Pd 2.36-2.63
Pd (0.2500, 0.5000, 0.5000)  8 Pd 2.69-2.80
Pd (0.8587, 0.4831, 0.7995)  1 Li 2.36
Ag (0.3773, 0.4205, 0.8248)  1 Li 2.75, 4 Pd 2.76-3.04
Li (0.1252, 0.7242, 0.0254)  3 Pd 2.36-2.63
Ag (0.6227, 0.5795, 0.1752)  1 Li 2.75, 4 Pd 2.76-3.04


Entry 3:
Below is crystalline NaUBi2 at its relaxed geometry, with properties calculated at the PBE level.

Properties
The energy relative to the elements comes out at -0.030 eV/atom. The calculation puts the energy above the most stable polymorph in this dataset at 0.13 eV/f.u.

Lattice parameters (Å, degrees): 4.0350 4.0350 7.3026 90.00 90.00 90.00
Last column: nearest neighbours and their distance in Å.
Positions (direct):
U (0.5000, 0.5000, 0.0000)  8 Bi 3.32, 2 Na 3.65
Na (0.5000, 0.5000, 0.5000)  8 Bi 3.46, 2 U 3.65
Bi (0.0000, 0.0000, 0.7687)  4 U 3.32, 1 Bi 3.38, 4 Na 3.46
Bi (0.0000, 0.0000, 0.2313)  4 U 3.32, 1 Bi 3.38, 4 Na 3.46